Density functional theory data (PBE) for a relaxed structure of In2ReCl.

magnetization: 0.00 μB per formula unit
SG: Immm (71)
energy relative to the elements, uncorrected: 795 meV/atom

Cell lengths 5.485, 5.485, 5.485 Å; angles 141.98, 126.92, 67.13 degrees
Atoms (fractional coordinates):
In 0.239 0.239 0.000
In 0.761 0.761 0.000
Re 0.000 0.500 0.500
Cl 0.500 0.000 0.500